1.
VASP calculation (PBE) on a relaxed structure of Li2Mg3Au2.

Lattice parameters (Å, degrees): 9.6212 4.4596 5.6977 90.00 93.09 90.00
Space group C2/m (No. 12)
Asymmetric unit:
Li1 0.1283 0.0000 0.0392 x4
Mg1 0.0000 0.0000 0.5000 x2
Mg2 0.1953 0.5000 0.3197 x4
Au1 0.1015 0.5000 0.7795 x4



2.
VASP calculation (PBE) on a relaxed structure of CsKHg5.

Lattice parameters (Å, degrees): 10.7775 6.9107 13.1201 90.00 90.00 90.00
Space group Pnma (No. 62)
Asymmetric unit:
Cs1 0.2482 0.2500 0.0598 x4
K1 0.1362 0.2500 0.3664 x4
Hg1 0.0400 0.2500 0.6196 x4
Hg2 0.0655 0.5213 0.8189 x8
Hg3 0.0896 0.7500 0.0302 x4
Hg4 0.2052 0.7500 0.2529 x4



3.
VASP calculation (PBE) on a relaxed structure of PuGa2Sn.

Lattice parameters (Å, degrees): 4.4476 4.4476 4.3459 90.00 90.00 90.00
Space group P4/mmm (No. 123)
Asymmetric unit:
Pu1 0.0000 0.0000 0.0000 x1
Ga1 0.0000 0.5000 0.5000 x2
Sn1 0.5000 0.5000 0.0000 x1

Computed properties:
- distance to the lowest polymorph of the same formula (eV/f.u.) = 0.00



| no. | electronic total energy (eV/atom) |
| --- | --- |
| 1 | -2.5927 |
| 2 | -0.7185 |
| 3 | -6.4699 |